Record 1
Entry from the Alexandria database: a geometry-optimized Ba2HSe structure (PBE).

Values from the calculation:
Polymorph energy (0 for the lowest one) = 59 meV/atom
E_tot = -3.70 eV per atom
M_tot = 2.0 Bohr magnetons per cell

Structure (POSCAR):
```
Ba2HSe
1.0
-3.8972 3.8972 4.2179
3.8972 -3.8972 4.2179
3.8972 3.8972 -4.2179
Ba H Se
4 2 2
direct
0.0725 0.6250 0.9475
0.3750 0.3225 0.4475
0.6775 0.1250 0.0525
0.8750 0.9275 0.5525
0.0000 0.0000 0.0000
0.7500 0.2500 0.5000
0.2500 0.7500 0.5000
0.5000 0.5000 0.0000
```


Record 2
Entry from the Alexandria database: a geometry-optimized MnCuAu3 structure (PBE).

Values from the calculation:
Polymorph energy (0 for the lowest one) = 961 meV/atom
E_tot = -3.71 eV per atom
ΔE_f = 0.911 eV/atom
M_tot = 4.3 Bohr magnetons per cell

Structure (POSCAR):
```
MnCuAu3
1.0
4.9006 0.0000 0.0000
0.0000 4.9006 0.0000
0.0000 0.0000 4.9006
Mn Cu Au
1 1 3
direct
0.0000 0.0000 0.0000
0.5000 0.5000 0.5000
0.0000 0.0000 0.5000
0.0000 0.5000 0.0000
0.5000 0.0000 0.0000
```


Record 3
Entry from the Alexandria database: a geometry-optimized Ba2SeF2 structure (PBE).

Values from the calculation:
Polymorph energy (0 for the lowest one) = 32 meV/atom
E_tot = -5.28 eV per atom
M_tot = 0.0 Bohr magnetons per cell

Structure (POSCAR):
```
Ba2SeF2
1.0
0.0000 5.5655 5.6215
4.3673 0.0000 5.6215
4.3673 5.5655 0.0000
Ba Se F
4 2 4
direct
0.0890 0.0890 0.6610
0.3390 0.3390 0.9110
0.6610 0.6610 0.0890
0.9110 0.9110 0.3390
0.3750 0.3750 0.3750
0.6250 0.6250 0.6250
0.0013 0.7487 0.0013
0.2513 0.9987 0.2513
0.7487 0.0013 0.7487
0.9987 0.2513 0.9987
```